Here is Cs2HgAsS4 after structural relaxation from Alexandria via LeMat-Bulk. Energies are from GGA-PBE.

Unit cell a=6.4264 b=7.8511 c=12.7648 alpha=84.09 beta=75.42 gamma=65.84
Site moments in Bohr magnetons follow the coordinates.
Atoms (fractional coordinates):
Cs  0.1787  0.0000  0.6426  0.00
Cs  0.8213  0.0000  0.3574  0.00
Cs  0.9287  0.5000  0.1426  0.00
Cs  0.5713  0.5000  0.8574  0.00
S  0.8832  0.6923  0.6034  0.11
S  0.8668  0.8077  0.8966  0.11
S  0.5711  0.1923  0.1034  0.11
S  0.1789  0.3077  0.3966  0.11
S  0.3255  0.8077  0.1034  0.11
S  0.4245  0.6923  0.3966  0.11
S  0.5134  0.3077  0.6034  0.11
S  0.2366  0.1923  0.8966  0.11
Hg  0.0000  0.0000  0.0000  0.01
Hg  0.7500  0.5000  0.5000  0.01
As  0.2500  0.5000  0.5000  0.10
As  0.5000  0.0000  0.0000  0.10

**Total magnetic moment**: 0.11 μB/atom
**Formation energy (no corrections)**: -0.519 eV/atom